Record 1
First-principles (PBE) data for an optimized crystal structure of AlSiC3, as listed in Alexandria.

Summary:
Magnetic moment in Bohr magnetons per cell: 0.00
Energy in eV per atom: -5.51
V in A^3/atom: 10.590
ΔE to the lowest computed polymorph in meV/atom: 0
Density in Mg/m³: 2.86
Crystal system: cubic
Uncorrected formation energy in eV per atom: 1.86

Geometry as CIF:
```
data_AlSiC3
_symmetry_space_group_name_H-M 'P m -3 m'
_symmetry_Int_Tables_number 221
_symmetry_space_group_name_Hall '-P 4 2 3'
_cell_length_a 3.7551
_cell_length_b 3.7551
_cell_length_c 3.7551
_cell_angle_alpha 90.00
_cell_angle_beta 90.00
_cell_angle_gamma 90.00
loop_
_atom_site_label
_atom_site_type_symbol
_atom_site_fract_x
_atom_site_fract_y
_atom_site_fract_z
Al1 Al 0.0000 0.0000 0.0000
Si1 Si 0.5000 0.5000 0.5000
C1 C 0.0000 0.5000 0.5000
```



Record 2
First-principles (PBE) data for an optimized crystal structure of HgSbTe2, as listed in Alexandria.

Summary:
Magnetic moment in Bohr magnetons per cell: 0.00
Energy in eV per atom: -2.51
V in A^3/atom: 30.742
ΔE to the lowest computed polymorph in meV/atom: 246
Density in Mg/m³: 7.80
Crystal system: orthorhombic
Uncorrected formation energy in eV per atom: 0.17

Geometry as CIF:
```
data_HgSbTe2
_symmetry_space_group_name_H-M 'C m m m'
_symmetry_Int_Tables_number 65
_symmetry_space_group_name_Hall '-C 2 2'
_cell_length_a 4.0042
_cell_length_b 5.5789
_cell_length_c 11.0091
_cell_angle_alpha 90.00
_cell_angle_beta 90.00
_cell_angle_gamma 90.00
loop_
_atom_site_label
_atom_site_type_symbol
_atom_site_fract_x
_atom_site_fract_y
_atom_site_fract_z
Hg1 Hg 0.0000 0.0000 0.0000
Sb1 Sb 0.0000 0.0000 0.5000
Te1 Te 0.0000 0.5000 0.2844
```



Record 3
First-principles (PBE) data for an optimized crystal structure of Tl2PtRh2Se6, as listed in Alexandria.

Summary:
Magnetic moment in Bohr magnetons per cell: 0.00
Energy in eV per atom: -4.61
V in A^3/atom: 25.213
Density in Mg/m³: 7.68
Crystal system: monoclinic
Uncorrected formation energy in eV per atom: -0.40

Geometry as CIF:
```
data_Tl2PtRh2Se6
_symmetry_space_group_name_H-M 'C 1 2/m 1'
_symmetry_Int_Tables_number 12
_cell_length_a 6.5891
_cell_length_b 11.4670
_cell_length_c 7.6762
_cell_angle_alpha 90.00
_cell_angle_beta 106.99
_cell_angle_gamma 90.00
loop_
_symmetry_equiv_pos_as_xyz
'x,y,z'
'-x,-y,-z'
'-x,y,-z'
'x,-y,z'
'x+1/2,y+1/2,z'
'-x+1/2,-y+1/2,-z'
'-x+1/2,y+1/2,-z'
'x+1/2,-y+1/2,z'
loop_
_atom_site_label
_atom_site_type_symbol
_atom_site_fract_x
_atom_site_fract_y
_atom_site_fract_z
Tl1 Tl 0.0000 0.1658 0.0000
Pt1 Pt 0.0000 0.0000 0.5000
Rh1 Rh 0.0000 0.3320 0.5000
Se1 Se 0.2220 0.5000 0.6713
Se2 Se 0.2262 0.1674 0.6711
```



Record 4
First-principles (PBE) data for an optimized crystal structure of ThGa2Co2Ir, as listed in Alexandria.

Summary:
Magnetic moment in Bohr magnetons per cell: 2.27
Energy in eV per atom: -6.04
V in A^3/atom: 19.675
Density in Mg/m³: 9.59
Crystal system: tetragonal
E_form in eV/f.u.: 0.3

Geometry as CIF:
```
data_ThGa2Co2Ir
_symmetry_space_group_name_H-M 'P 4/m m m'
_symmetry_Int_Tables_number 123
_symmetry_space_group_name_Hall '-P 4 2'
_cell_length_a 4.7126
_cell_length_b 4.7126
_cell_length_c 5.3155
_cell_angle_alpha 90.00
_cell_angle_beta 90.00
_cell_angle_gamma 90.00
loop_
_atom_site_label
_atom_site_type_symbol
_atom_site_fract_x
_atom_site_fract_y
_atom_site_fract_z
Th1 Th 0.0000 0.0000 0.0000
Ga1 Ga 0.0000 0.5000 0.5000
Co1 Co 0.5000 0.5000 0.2182
Ir1 Ir 0.0000 0.0000 0.5000
```



Record 5
First-principles (PBE) data for an optimized crystal structure of SrRh3Se, as listed in Alexandria.

Summary:
Magnetic moment in Bohr magnetons per cell: 2.94
Energy in eV per atom: -3.66
V in A^3/atom: 24.930
ΔE to the lowest computed polymorph in meV/atom: 1910
Density in Mg/m³: 6.33
Crystal system: cubic
Uncorrected formation energy in eV per atom: 1.79

Geometry as CIF:
```
data_SrRh3Se
_symmetry_space_group_name_H-M 'P m -3 m'
_symmetry_Int_Tables_number 221
_symmetry_space_group_name_Hall '-P 4 2 3'
_cell_length_a 4.9953
_cell_length_b 4.9953
_cell_length_c 4.9953
_cell_angle_alpha 90.00
_cell_angle_beta 90.00
_cell_angle_gamma 90.00
loop_
_atom_site_label
_atom_site_type_symbol
_atom_site_fract_x
_atom_site_fract_y
_atom_site_fract_z
Sr1 Sr 0.0000 0.0000 0.0000
Rh1 Rh 0.0000 0.0000 0.5000
Se1 Se 0.5000 0.5000 0.5000
```



Record 6
First-principles (PBE) data for an optimized crystal structure of Mg2PIr, as listed in Alexandria.

Summary:
Magnetic moment in Bohr magnetons per cell: 0.00
Energy in eV per atom: -4.77
V in A^3/atom: 17.232
Density in Mg/m³: 6.55
Crystal system: orthorhombic
E_form in eV/f.u.: -1.6

Geometry as CIF:
```
data_Mg2PIr
_symmetry_space_group_name_H-M 'I m m 2'
_symmetry_Int_Tables_number 44
_cell_length_a 3.0344
_cell_length_b 4.3944
_cell_length_c 10.3389
_cell_angle_alpha 90.00
_cell_angle_beta 90.00
_cell_angle_gamma 90.00
loop_
_symmetry_equiv_pos_as_xyz
'x,y,z'
'-x,-y,z'
'-x,y,z'
'x,-y,z'
'x+1/2,y+1/2,z+1/2'
'-x+1/2,-y+1/2,z+1/2'
'-x+1/2,y+1/2,z+1/2'
'x+1/2,-y+1/2,z+1/2'
loop_
_atom_site_label
_atom_site_type_symbol
_atom_site_fract_x
_atom_site_fract_y
_atom_site_fract_z
Mg1 Mg 0.0000 0.0000 0.0000
Mg2 Mg 0.0000 0.5000 0.1950
P1 P 0.0000 0.5000 0.7754
Ir1 Ir 0.0000 0.0000 0.4482
```



Record 7
First-principles (PBE) data for an optimized crystal structure of BaW2Cl, as listed in Alexandria.

Summary:
Magnetic moment in Bohr magnetons per cell: 1.93
Energy in eV per atom: -6.58
V in A^3/atom: 26.876
ΔE to the lowest computed polymorph in meV/atom: 669
Density in Mg/m³: 8.35
Crystal system: tetragonal
Uncorrected formation energy in eV per atom: 0.84

Geometry as CIF:
```
data_BaW2Cl
_symmetry_space_group_name_H-M 'P 4/m m m'
_symmetry_Int_Tables_number 123
_symmetry_space_group_name_Hall '-P 4 2'
_cell_length_a 3.9207
_cell_length_b 3.9207
_cell_length_c 6.9938
_cell_angle_alpha 90.00
_cell_angle_beta 90.00
_cell_angle_gamma 90.00
loop_
_atom_site_label
_atom_site_type_symbol
_atom_site_fract_x
_atom_site_fract_y
_atom_site_fract_z
Ba1 Ba 0.0000 0.0000 0.0000
W1 W 0.0000 0.5000 0.5000
Cl1 Cl 0.5000 0.5000 0.0000
```



Record 8
First-principles (PBE) data for an optimized crystal structure of HoPuGe2, as listed in Alexandria.

Summary:
Magnetic moment in Bohr magnetons per cell: 11.91
Energy in eV per atom: -7.65
V in A^3/atom: 23.160
Density in Mg/m³: 9.93
Crystal system: orthorhombic
E_form in eV/f.u.: -2.5

Geometry as CIF:
```
data_HoPuGe2
_symmetry_space_group_name_H-M 'A m m 2'
_symmetry_Int_Tables_number 38
_cell_length_a 3.9373
_cell_length_b 4.3507
_cell_length_c 10.8159
_cell_angle_alpha 90.00
_cell_angle_beta 90.00
_cell_angle_gamma 90.00
loop_
_symmetry_equiv_pos_as_xyz
'x,y,z'
'-x,-y,z'
'-x,y,z'
'x,-y,z'
'x,y+1/2,z+1/2'
'-x,-y+1/2,z+1/2'
'-x,y+1/2,z+1/2'
'x,-y+1/2,z+1/2'
loop_
_atom_site_label
_atom_site_type_symbol
_atom_site_fract_x
_atom_site_fract_y
_atom_site_fract_z
Ho1 Ho 0.0000 0.0000 0.0000
Pu1 Pu 0.5000 0.0000 0.2790
Ge1 Ge 0.0000 0.0000 0.7195
Ge2 Ge 0.5000 0.0000 0.5551
```